# DyTmMg2Au4 (PBE, relaxed)
data_DyTmMg2Au4
_chemical_formula_sum 'Dy3 Tm3 Mg6 Au12'
_cell_length_a 4.8896
_cell_length_b 4.8896
_cell_length_c 23.8686
_cell_angle_alpha 90.00
_cell_angle_beta 90.00
_cell_angle_gamma 120.00
_space_group_name_H-M_alt 'R -3 m'
_space_group_IT_number 166
_space_group_name_Hall '-R 3 2"'
loop_
_atom_site_label
_atom_site_type_symbol
_atom_site_fract_x
_atom_site_fract_y
_atom_site_fract_z
Dy1 Dy 0.0000 0.0000 0.0000
Tm1 Tm 0.0000 0.0000 0.5000
Mg1 Mg 0.0000 0.0000 0.2497
Au1 Au 0.0000 0.0000 0.1267
Au2 Au 0.0000 0.0000 0.3761
# * energy relative to the elements: -6.294 eV/f.u.